1.
First-principles (PBE) data for crystalline Tb2DyEr4Tm2 at its relaxed geometry, as listed in Alexandria via LeMat-Bulk.

Output
Energy of formation in eV/atom: 0.002
Crystal system: monoclinic
Total DFT energy (no corrections) in eV/cell: -41.0

Cell lengths 3.5440, 9.3723, 9.4046 Å; angles 115.30, 90.00, 100.90 degrees
Last column: nearest neighbours and their distance in Å.
Fractional positions:
1 Tb 0.1479 0.2959 0.6663  7 Er 3.48-3.55, 3 Tm 3.48-3.50, 2 Tb 3.54
2 Tb 0.8521 0.7041 0.3337  7 Er 3.48-3.55, 3 Tm 3.48-3.50, 2 Tb 3.54
3 Dy 0.0000 0.0000 0.0000  6 Er 3.48-3.49, 4 Tm 3.54, 2 Dy 3.54
4 Er 0.8148 0.6296 0.6660  3 Tb 3.48-3.55, 6 Er 3.48-3.54, 2 Tm 3.48, 1 Dy 3.49
5 Er 0.4814 0.9628 0.6669  4 Tb 3.48-3.54, 2 Dy 3.48, 5 Er 3.49-3.54, 1 Tm 3.49
6 Er 0.5186 0.0372 0.3331  4 Tb 3.48-3.54, 2 Dy 3.48, 5 Er 3.49-3.54, 1 Tm 3.49
7 Er 0.1852 0.3704 0.3340  3 Tb 3.48-3.55, 6 Er 3.48-3.54, 2 Tm 3.48, 1 Dy 3.49
8 Tm 0.6670 0.3339 0.0012  3 Tb 3.48-3.50, 3 Er 3.48-3.49, 4 Tm 3.54, 2 Dy 3.54
9 Tm 0.3330 0.6661 0.9988  3 Tb 3.48-3.50, 3 Er 3.48-3.49, 4 Tm 3.54, 2 Dy 3.54

***

2.
First-principles (PBE) data for crystalline TbDyErTm3 at its relaxed geometry, as listed in Alexandria via LeMat-Bulk.

Output
Energy of formation in eV/atom: 0.023
Crystal system: orthorhombic
Total DFT energy (no corrections) in eV/cell: -54.1

Cell lengths 4.9565, 7.8458, 9.9047 Å; angles 90.00, 90.00, 108.46 degrees
Last column: nearest neighbours and their distance in Å.
Fractional positions:
1 Tm 0.1671 0.3342 0.7500  6 Tm 3.49-3.50, 2 Er 3.49-3.50, 2 Dy 3.51, 2 Tb 3.51
2 Tm 0.6674 0.3347 0.4999  5 Tm 3.49-3.50, 3 Er 3.49-3.50, 2 Dy 3.51, 2 Tb 3.51
3 Tm 0.8329 0.6658 0.2500  6 Tm 3.49-3.50, 2 Er 3.49-3.50, 2 Dy 3.51, 2 Tb 3.51
4 Tm 0.6674 0.3347 0.0001  5 Tm 3.49-3.50, 3 Er 3.49-3.50, 2 Dy 3.51, 2 Tb 3.51
5 Tm 0.3326 0.6653 0.5001  5 Tm 3.49-3.50, 3 Er 3.49-3.50, 2 Dy 3.51, 2 Tb 3.51
6 Tm 0.3326 0.6653 0.9999  5 Tm 3.49-3.50, 3 Er 3.49-3.50, 2 Dy 3.51, 2 Tb 3.51
7 Er 0.8327 0.6653 0.7500  8 Tm 3.49-3.50, 2 Tb 3.51, 2 Dy 3.51-3.52
8 Er 0.1673 0.3347 0.2500  8 Tm 3.49-3.50, 2 Tb 3.51, 2 Dy 3.51-3.52
9 Tb 0.0000 0.0000 0.0000  4 Dy 3.50, 6 Tm 3.51, 2 Er 3.51
10 Tb 0.0000 0.0000 0.5000  4 Dy 3.50, 6 Tm 3.51, 2 Er 3.51
11 Dy 0.5002 0.0003 0.7500  4 Tb 3.50, 6 Tm 3.51, 2 Er 3.51-3.52
12 Dy 0.4998 0.9997 0.2500  4 Tb 3.50, 6 Tm 3.51, 2 Er 3.51-3.52

***

3.
First-principles (PBE) data for crystalline TbDy6Er3Tm2 at its relaxed geometry, as listed in Alexandria via LeMat-Bulk.

Output
Energy of formation in eV/atom: 0.019
Crystal system: monoclinic
Total DFT energy (no corrections) in eV/cell: -54.6

Cell lengths 6.0902, 6.0902, 11.6498 Å; angles 94.98, 94.98, 119.94 degrees
Last column: nearest neighbours and their distance in Å.
Fractional positions:
1 Dy 0.0839 0.4175 0.2502  3 Er 3.51, 6 Dy 3.51-3.52, 2 Tm 3.51-3.52, 1 Tb 3.52
2 Dy 0.9161 0.5825 0.7498  3 Er 3.51, 6 Dy 3.51-3.52, 2 Tm 3.51-3.52, 1 Tb 3.52
3 Dy 0.5825 0.9161 0.7498  3 Er 3.51, 6 Dy 3.51-3.52, 2 Tm 3.51-3.52, 1 Tb 3.52
4 Dy 0.2499 0.2499 0.7499  3 Er 3.51, 6 Dy 3.51-3.52, 1 Tb 3.51, 2 Tm 3.52
5 Dy 0.7501 0.7501 0.2501  3 Er 3.51, 6 Dy 3.51-3.52, 1 Tb 3.51, 2 Tm 3.52
6 Dy 0.4175 0.0839 0.2502  3 Er 3.51, 6 Dy 3.51-3.52, 2 Tm 3.51-3.52, 1 Tb 3.52
7 Tm 0.6667 0.3333 0.0000  6 Dy 3.51-3.52, 3 Tb 3.51-3.52, 3 Tm 3.52
8 Tm 0.3333 0.6667 0.0000  6 Dy 3.51-3.52, 3 Tb 3.51-3.52, 3 Tm 3.52
9 Tb 0.0000 0.0000 0.0000  6 Dy 3.51-3.52, 6 Tm 3.51-3.52
10 Er 0.1669 0.8331 0.5000  6 Dy 3.51, 6 Er 3.51-3.52
11 Er 0.8331 0.1669 0.5000  6 Dy 3.51, 6 Er 3.51-3.52
12 Er 0.5000 0.5000 0.5000  6 Dy 3.51, 6 Er 3.51-3.52

***

4.
First-principles (PBE) data for crystalline Tb6DyErTm2 at its relaxed geometry, as listed in Alexandria via LeMat-Bulk.

Output
Energy of formation in eV/atom: 0.120
Crystal system: monoclinic
Total DFT energy (no corrections) in eV/cell: -89.4

Cell lengths 9.4821, 8.7259, 8.7259 Å; angles 117.76, 93.81, 93.81 degrees
Last column: nearest neighbours and their distance in Å.
Fractional positions:
1 Tm 0.0449 0.3022 0.1985  6 Tb 3.23-3.59, 2 Dy 3.37-3.39, 1 Er 3.50
2 Tm 0.5449 0.1985 0.3022  6 Tb 3.23-3.59, 2 Dy 3.37-3.39, 1 Er 3.50
3 Tm 0.9551 0.6978 0.8015  6 Tb 3.23-3.59, 2 Dy 3.37-3.39, 1 Er 3.50
4 Tm 0.4551 0.8015 0.6978  6 Tb 3.23-3.59, 2 Dy 3.37-3.39, 1 Er 3.50
5 Tb 0.0551 0.1217 0.7541  7 Tb 3.37-3.72, 1 Tm 3.45, 1 Dy 3.63
6 Tb 0.9449 0.8783 0.2459  7 Tb 3.37-3.72, 1 Tm 3.45, 1 Dy 3.63
7 Tb 0.6198 0.4940 0.7086  4 Tb 3.20-3.53, 3 Tm 3.23-3.39, 2 Er 3.38-3.52
8 Tb 0.3156 0.9835 0.4332  3 Tb 3.20-3.56, 1 Tm 3.37, 1 Er 3.43, 1 Dy 3.54
9 Tb 0.8156 0.4332 0.9835  3 Tb 3.20-3.56, 1 Tm 3.37, 1 Er 3.43, 1 Dy 3.54
10 Tb 0.6844 0.0165 0.5668  3 Tb 3.20-3.56, 1 Tm 3.37, 1 Er 3.43, 1 Dy 3.54
11 Tb 0.8802 0.2914 0.5060  4 Tb 3.20-3.53, 3 Tm 3.23-3.39, 2 Er 3.38-3.52
12 Tb 0.1198 0.7086 0.4940  4 Tb 3.20-3.53, 3 Tm 3.23-3.39, 2 Er 3.38-3.52
13 Tb 0.1844 0.5668 0.0165  3 Tb 3.20-3.56, 1 Tm 3.37, 1 Er 3.43, 1 Dy 3.54
14 Tb 0.4449 0.2459 0.8783  7 Tb 3.37-3.72, 1 Tm 3.45, 1 Dy 3.63
15 Tb 0.5551 0.7541 0.1217  7 Tb 3.37-3.72, 1 Tm 3.45, 1 Dy 3.63
16 Tb 0.3802 0.5060 0.2914  4 Tb 3.20-3.53, 3 Tm 3.23-3.39, 2 Er 3.38-3.52
17 Dy 0.2500 0.9751 0.0249  4 Tm 3.37-3.39, 4 Tb 3.54-3.63
18 Dy 0.7500 0.0249 0.9751  4 Tm 3.37-3.39, 4 Tb 3.54-3.63
19 Er 0.2500 0.4091 0.5909  6 Tb 3.38-3.52, 2 Tm 3.50
20 Er 0.7500 0.5909 0.4091  6 Tb 3.38-3.52, 2 Tm 3.50

***

5.
First-principles (PBE) data for crystalline TbDy2ErTm at its relaxed geometry, as listed in Alexandria via LeMat-Bulk.

Output
Energy of formation in eV/atom: 0.407
Crystal system: orthorhombic
Total DFT energy (no corrections) in eV/cell: -41.7

Cell lengths 7.1625, 8.2892, 7.0113 Å; angles 126.24, 90.00, 90.00 degrees
Last column: nearest neighbours and their distance in Å.
Fractional positions:
1 Dy 0.5000 0.3080 0.0000  2 Tm 3.12, 1 Dy 3.18, 2 Er 3.48
2 Dy 0.0000 0.3080 0.0000  2 Tm 3.12, 1 Dy 3.18, 2 Er 3.48
3 Dy 0.5000 0.6920 0.0000  2 Tm 3.12, 1 Dy 3.18, 2 Er 3.48
4 Dy 0.0000 0.6920 0.0000  2 Tm 3.12, 1 Dy 3.18, 2 Er 3.48
5 Tb 0.2500 0.7262 0.4524  1 Tm 3.10
6 Tb 0.7500 0.2738 0.5476  1 Tm 3.10
7 Tm 0.2500 0.0004 0.0008  1 Tb 3.10, 4 Dy 3.12, 1 Er 3.12
8 Tm 0.7500 0.9996 0.9992  1 Tb 3.10, 4 Dy 3.12, 1 Er 3.12
9 Er 0.2500 0.2765 0.5529  1 Tm 3.12, 4 Dy 3.48
10 Er 0.7500 0.7235 0.4471  1 Tm 3.12, 4 Dy 3.48

***

6.
First-principles (PBE) data for crystalline TbDyEr2Tm2 at its relaxed geometry, as listed in Alexandria via LeMat-Bulk.

Output
Energy of formation in eV/atom: 0.286
Crystal system: orthorhombic
Total DFT energy (no corrections) in eV/cell: -51.2

Cell lengths 3.3510, 6.4743, 17.4616 Å; angles 90.00, 90.00, 90.00 degrees
Last column: nearest neighbours and their distance in Å.
Fractional positions:
1 Er 0.0000 0.2292 0.8163  4 Tm 3.28-3.37, 2 Er 3.35, 1 Tb 3.53
2 Er 0.0000 0.7708 0.1837  4 Tm 3.28-3.37, 2 Er 3.35, 1 Tb 3.53
3 Er 0.5000 0.7292 0.6837  4 Tm 3.28-3.37, 2 Er 3.35, 1 Tb 3.53
4 Er 0.5000 0.2708 0.3163  4 Tm 3.28-3.37, 2 Er 3.35, 1 Tb 3.53
5 Tm 0.5000 0.2274 0.6485  1 Tb 3.14, 4 Er 3.28-3.37, 2 Tm 3.35, 2 Dy 3.42
6 Tm 0.5000 0.7726 0.3515  1 Tb 3.14, 4 Er 3.28-3.37, 2 Tm 3.35, 2 Dy 3.42
7 Tm 0.0000 0.7274 0.8515  1 Tb 3.14, 4 Er 3.28-3.37, 2 Tm 3.35, 2 Dy 3.42
8 Tm 0.0000 0.2726 0.1485  1 Tb 3.14, 4 Er 3.28-3.37, 2 Tm 3.35, 2 Dy 3.42
9 Tb 0.5000 0.5000 0.5000  2 Tm 3.14, 2 Tb 3.35
10 Tb 0.0000 0.0000 0.0000  2 Tm 3.14, 2 Tb 3.35
11 Dy 0.5000 0.5000 0.0000  2 Dy 3.35, 4 Tm 3.42, 4 Tb 3.65
12 Dy 0.0000 0.0000 0.5000  2 Dy 3.35, 4 Tm 3.42, 4 Tb 3.65

***

7.
First-principles (PBE) data for crystalline Tb2Dy3Er6Tm at its relaxed geometry, as listed in Alexandria via LeMat-Bulk.

Output
Energy of formation in eV/atom: 0.020
Crystal system: monoclinic
Total DFT energy (no corrections) in eV/cell: -54.7

Cell lengths 6.0841, 6.0841, 11.6407 Å; angles 94.98, 94.98, 119.94 degrees
Last column: nearest neighbours and their distance in Å.
Fractional positions:
1 Tb 0.6666 0.3334 0.0000  6 Er 3.51, 3 Tb 3.51-3.52, 3 Tm 3.51
2 Tb 0.3334 0.6666 0.0000  6 Er 3.51, 3 Tb 3.51-3.52, 3 Tm 3.51
3 Er 0.7505 0.7505 0.2500  1 Tm 3.51, 3 Dy 3.51, 6 Er 3.51-3.52, 2 Tb 3.51
4 Er 0.4163 0.0833 0.2498  6 Er 3.51-3.52, 1 Tm 3.51, 2 Tb 3.51, 3 Dy 3.51-3.52
5 Er 0.0833 0.4163 0.2498  6 Er 3.51-3.52, 1 Tm 3.51, 2 Tb 3.51, 3 Dy 3.51-3.52
6 Er 0.2495 0.2495 0.7500  1 Tm 3.51, 3 Dy 3.51, 6 Er 3.51-3.52, 2 Tb 3.51
7 Er 0.5837 0.9167 0.7502  6 Er 3.51-3.52, 1 Tm 3.51, 2 Tb 3.51, 3 Dy 3.51-3.52
8 Er 0.9167 0.5837 0.7502  6 Er 3.51-3.52, 1 Tm 3.51, 2 Tb 3.51, 3 Dy 3.51-3.52
9 Dy 0.5000 0.5000 0.5000  6 Er 3.51, 6 Dy 3.51
10 Dy 0.1665 0.8335 0.5000  6 Dy 3.51-3.52, 6 Er 3.51-3.52
11 Dy 0.8335 0.1665 0.5000  6 Dy 3.51-3.52, 6 Er 3.51-3.52
12 Tm 0.0000 0.0000 0.0000  6 Er 3.51, 6 Tb 3.51

***

8.
First-principles (PBE) data for crystalline Tb2Dy3ErTm6 at its relaxed geometry, as listed in Alexandria via LeMat-Bulk.

Output
Energy of formation in eV/atom: 0.022
Crystal system: monoclinic
Total DFT energy (no corrections) in eV/cell: -54.2

Cell lengths 6.0752, 6.0752, 11.6066 Å; angles 95.00, 95.00, 119.95 degrees
Last column: nearest neighbours and their distance in Å.
Fractional positions:
1 Dy 0.8334 0.1666 0.5000  6 Tm 3.50, 6 Dy 3.50-3.51
2 Dy 0.1666 0.8334 0.5000  6 Tm 3.50, 6 Dy 3.50-3.51
3 Dy 0.5000 0.5000 0.5000  6 Tm 3.50, 6 Dy 3.51
4 Tb 0.3334 0.6666 0.0000  6 Tm 3.50, 3 Tb 3.51, 3 Er 3.51
5 Tb 0.6666 0.3334 0.0000  6 Tm 3.50, 3 Tb 3.51, 3 Er 3.51
6 Tm 0.9165 0.5834 0.7501  2 Tb 3.50, 1 Er 3.50, 3 Dy 3.50, 6 Tm 3.50-3.51
7 Tm 0.0835 0.4166 0.2499  2 Tb 3.50, 1 Er 3.50, 3 Dy 3.50, 6 Tm 3.50-3.51
8 Tm 0.7504 0.7504 0.2500  1 Er 3.50, 3 Dy 3.50, 2 Tb 3.50, 6 Tm 3.51
9 Tm 0.5834 0.9165 0.7501  2 Tb 3.50, 1 Er 3.50, 3 Dy 3.50, 6 Tm 3.50-3.51
10 Tm 0.4166 0.0835 0.2499  2 Tb 3.50, 1 Er 3.50, 3 Dy 3.50, 6 Tm 3.50-3.51
11 Tm 0.2496 0.2496 0.7500  1 Er 3.50, 3 Dy 3.50, 2 Tb 3.50, 6 Tm 3.51
12 Er 0.0000 0.0000 0.0000  6 Tm 3.50, 6 Tb 3.51